Arrangement one

Computed, not measured: a relaxed structure of NaNdTm at the PBE level of DFT.

Output
The crystal system is tetragonal. For the volume, the calculation gives 205 Å³ per cell. The space-group type is P4/nmm, No. 129. Its size of the total moment is 0.00 μB/f.u.

Cell lengths 4.137, 4.137, 11.964 Å; angles 90.00, 90.00, 90.00 degrees
Fractional coordinates of all 6 atoms:
Na1 0.250 0.750 0.000
Na2 0.750 0.250 0.000
Nd1 0.250 0.250 0.263
Nd2 0.750 0.750 0.737
Tm1 0.250 0.250 0.569
Tm2 0.750 0.750 0.431

=====

Arrangement two

Computed, not measured: a relaxed structure of NaNdTm at the PBE level of DFT.

Output
The crystal system is tetragonal. For the volume, the calculation gives 102 Å³ per cell. The space-group type is I4mm, No. 107. Its size of the total moment is 0.00 μB/f.u.

Cell lengths 8.511, 8.511, 8.511 Å; angles 156.04, 156.04, 34.14 degrees
Fractional coordinates of all 3 atoms:
Na1 0.000 0.000 0.000
Nd1 0.679 0.679 0.000
Tm1 0.328 0.328 0.000

=====

It is arrangement one that is the least stable of them.

=====

Arrangement one

Computed, not measured: a relaxed structure of NaNdTm at the PBE level of DFT.

Output
The crystal system is trigonal. For the volume, the calculation gives 101 Å³ per cell. The space-group type is P3m1, No. 156. Its size of the total moment is 0.00 μB/f.u.

Cell lengths 3.562, 3.562, 9.217 Å; angles 90.00, 90.00, 120.00 degrees
Fractional coordinates of all 3 atoms:
Na1 0.000 0.000 0.000
Nd1 0.333 0.667 0.645
Tm1 0.667 0.333 0.344

=====

Arrangement two

Computed, not measured: a relaxed structure of NaNdTm at the PBE level of DFT.

Output
The crystal system is monoclinic. For the volume, the calculation gives 198 Å³ per cell. The space-group type is C2, No. 5. Its size of the total moment is 0.00 μB/f.u.

Cell lengths 5.636, 5.636, 7.179 Å; angles 90.00, 90.00, 60.00 degrees
Fractional coordinates of all 6 atoms:
Na1 0.167 0.167 0.000
Na2 0.833 0.833 0.000
Nd1 0.499 0.501 0.268
Nd2 0.499 0.501 0.732
Tm1 0.166 0.167 0.500
Tm2 0.833 0.834 0.500

=====

It is arrangement two that is the least stable of them.

=====

Arrangement one

Computed, not measured: a relaxed structure of NaNdY2 at the PBE level of DFT.

Output
The crystal system is trigonal. For the volume, the calculation gives 135 Å³ per cell. The space-group type is R-3m, No. 166. Its size of the total moment is 0.00 μB/f.u.

Cell lengths 12.304, 12.304, 12.304 Å; angles 16.77, 16.77, 16.77 degrees
Fractional coordinates of all 4 atoms:
Na1 0.000 0.000 0.000
Nd1 0.500 0.500 0.500
Y1 0.247 0.247 0.247
Y2 0.753 0.753 0.753

=====

Arrangement two

Computed, not measured: a relaxed structure of NaNdY2 at the PBE level of DFT.

Output
The crystal system is tetragonal. For the volume, the calculation gives 137 Å³ per cell. The space-group type is P4/mmm, No. 123. Its size of the total moment is 0.00 μB/f.u.

Cell lengths 3.607, 3.607, 10.507 Å; angles 90.00, 90.00, 90.00 degrees
Fractional coordinates of all 4 atoms:
Na1 0.000 0.000 0.000
Nd1 0.000 0.000 0.500
Y1 0.500 0.500 0.265
Y2 0.500 0.500 0.735

=====

It is arrangement two that is the least stable of them.

=====

Arrangement one

Computed, not measured: a relaxed structure of NaNd2Zn at the PBE level of DFT.

Output
The crystal system is cubic. For the volume, the calculation gives 112 Å³ per cell. The space-group type is Fm-3m, No. 225. Its size of the total moment is 0.00 μB/f.u.

Cell lengths 5.417, 5.417, 5.417 Å; angles 60.00, 60.00, 60.00 degrees
Fractional coordinates of all 4 atoms:
Na1 0.000 0.000 0.000
Nd1 0.250 0.250 0.250
Nd2 0.750 0.750 0.750
Zn1 0.500 0.500 0.500

=====

Arrangement two

Computed, not measured: a relaxed structure of NaNd2Zn at the PBE level of DFT.

Output
The crystal system is tetragonal. For the volume, the calculation gives 121 Å³ per cell. The space-group type is P4/mmm, No. 123. Its size of the total moment is 0.00 μB/f.u.

Cell lengths 3.702, 3.702, 8.866 Å; angles 90.00, 90.00, 90.00 degrees
Fractional coordinates of all 4 atoms:
Na1 0.000 0.000 0.000
Nd1 0.500 0.500 0.304
Nd2 0.500 0.500 0.696
Zn1 0.000 0.000 0.500

=====

It is arrangement one that is the least stable of them.

=====

Arrangement one

Computed, not measured: a relaxed structure of NaNd2Zn at the PBE level of DFT.

Output
The crystal system is tetragonal. For the volume, the calculation gives 113 Å³ per cell. The space-group type is P4/mmm, No. 123. Its size of the total moment is 0.00 μB/f.u.

Cell lengths 5.378, 5.378, 3.907 Å; angles 90.00, 90.00, 90.00 degrees
Fractional coordinates of all 4 atoms:
Na1 0.000 0.000 0.000
Nd1 0.000 0.500 0.500
Nd2 0.500 0.000 0.500
Zn1 0.500 0.500 0.000

=====

Arrangement two

Computed, not measured: a relaxed structure of NaNd2Zn at the PBE level of DFT.

Output
The crystal system is trigonal. For the volume, the calculation gives 132 Å³ per cell. The space-group type is R-3m, No. 166. Its size of the total moment is 0.00 μB/f.u.

Cell lengths 12.002, 12.002, 12.002 Å; angles 17.20, 17.20, 17.20 degrees
Fractional coordinates of all 4 atoms:
Na1 0.000 0.000 0.000
Nd1 0.103 0.103 0.103
Nd2 0.897 0.897 0.897
Zn1 0.500 0.500 0.500

=====

It is arrangement two that is the least stable of them.

=====

Arrangement one

Computed, not measured: a relaxed structure of NaNd2Zr at the PBE level of DFT.

Output
The crystal system is tetragonal. For the volume, the calculation gives 127 Å³ per cell. The space-group type is P4/mmm, No. 123. Its size of the total moment is 0.00 μB/f.u.

Cell lengths 3.462, 3.462, 10.632 Å; angles 90.00, 90.00, 90.00 degrees
Fractional coordinates of all 4 atoms:
Na1 0.000 0.000 0.000
Nd1 0.500 0.500 0.282
Nd2 0.500 0.500 0.718
Zr1 0.000 0.000 0.500

=====

Arrangement two

Computed, not measured: a relaxed structure of NaNd2Zr at the PBE level of DFT.

Output
The crystal system is trigonal. For the volume, the calculation gives 127 Å³ per cell. The space-group type is R-3m, No. 166. Its size of the total moment is 0.00 μB/f.u.

Cell lengths 12.263, 12.263, 12.263 Å; angles 16.30, 16.30, 16.30 degrees
Fractional coordinates of all 4 atoms:
Na1 0.000 0.000 0.000
Nd1 0.240 0.240 0.240
Nd2 0.760 0.760 0.760
Zr1 0.500 0.500 0.500

=====

It is arrangement two that is the least stable of them.